Entry 1:
A plane-wave DFT calculation with PBE-GGA was carried out for IrIO2 after structural relaxation.

Cell and atoms, written as POSCAR:
```
IrIO2
1.0
1.843 0.000 10.239
-0.921 1.596 10.239
-0.921 -1.596 10.239
I Ir O
1 1 2
direct
0.500 0.500 0.500
0.000 0.000 0.000
0.944 0.944 0.944
0.056 0.056 0.056
```

Output
The total energy comes out at -20.11 eV/cell. Its calculated volume is 22.59 Å³ per atom. The value obtained for the uncorrected formation energy is 54 meV per atom. For the density of states at the Fermi level, the calculation gives 2.75 states/eV/cell. The value obtained for the energy above the most stable polymorph in this dataset is 336 meV per atom.

Entry 2:
A plane-wave DFT calculation with PBE-GGA was carried out for LiNbAu2O after structural relaxation.

Cell and atoms, written as POSCAR:
```
LiNbAu2O
1.0
-4.485 1.224 1.780
1.184 -0.845 3.564
1.524 4.700 0.608
Nb Au O Li
1 2 1 1
direct
0.000 0.500 0.000
0.000 0.000 0.500
0.500 0.000 0.000
0.000 0.000 0.000
0.500 0.500 0.500
```

Output
The total energy comes out at -24.07 eV/cell. Its calculated volume is 19.08 Å³ per atom. The value obtained for the uncorrected formation energy is -116 meV per atom. For the density of states at the Fermi level, the calculation gives 2.67 states/eV/cell.

Entry 3:
A plane-wave DFT calculation with PBE-GGA was carried out for Ti4Pd2Pt after structural relaxation.

Cell and atoms, written as POSCAR:
```
Ti4Pd2Pt
1.0
-0.864 6.719 -0.137
-5.090 -3.013 -3.306
0.090 -2.109 6.439
Ti Pd Pt
8 4 2
direct
0.118 0.887 0.369
0.631 0.748 0.518
0.981 0.613 0.732
0.268 0.248 0.881
0.632 0.752 0.019
0.769 0.252 0.882
0.482 0.113 0.231
0.119 0.387 0.368
0.875 0.135 0.510
0.490 0.365 0.625
0.375 0.865 0.740
0.260 0.635 0.125
0.000 0.000 0.000
0.750 0.500 0.250
```

Output
The total energy comes out at -100.92 eV/cell. Its calculated volume is 17.11 Å³ per atom. For the formation energy, the calculation gives -0.35 eV/atom. For the density of states at the Fermi level, the calculation gives 22.86 states/eV/cell.

Entry 4:
A plane-wave DFT calculation with PBE-GGA was carried out for RbTi2GaS after structural relaxation.

Cell and atoms, written as POSCAR:
```
RbTi2GaS
1.0
4.678 0.000 0.000
0.000 5.844 0.000
0.000 0.000 4.678
S Ga Rb Ti
1 1 1 2
direct
0.000 0.000 0.000
0.000 0.500 0.000
0.500 0.500 0.500
0.000 0.000 0.500
0.500 0.000 0.000
```

Output
The total energy comes out at -22.43 eV/cell. Its calculated volume is 25.58 Å³ per atom. The value obtained for the uncorrected formation energy is 295 meV per atom. For the density of states at the Fermi level, the calculation gives 6.06 states/eV/cell.

Entry 5:
A plane-wave DFT calculation with PBE-GGA was carried out for Ac4Pm3Pb5 after structural relaxation.

Cell and atoms, written as POSCAR:
```
Ac4Pm3Pb5
1.0
5.727 0.000 0.000
2.863 6.596 -1.807
2.863 0.839 12.187
Ac Pm Pb
4 3 5
direct
0.850 0.285 0.014
0.199 0.907 0.695
0.801 0.093 0.305
0.150 0.715 0.986
0.519 0.674 0.287
0.000 0.500 0.500
0.481 0.326 0.713
0.553 0.019 0.874
0.500 0.500 0.500
0.158 0.469 0.215
0.842 0.531 0.785
0.447 0.981 0.126
```

Output
The total energy comes out at -52.21 eV/cell. Its calculated volume is 39.08 Å³ per atom. For the formation energy, the calculation gives -0.25 eV/atom. For the density of states at the Fermi level, the calculation gives 12.45 states/eV/cell.

Entry 6:
A plane-wave DFT calculation with PBE-GGA was carried out for Co2ReAu after structural relaxation.

Cell and atoms, written as POSCAR:
```
Co2ReAu
1.0
-2.309 4.488 4.320
0.193 -4.554 4.834
1.466 0.699 5.166
Re Au Co
2 2 4
direct
0.500 0.500 0.000
0.250 0.750 0.500
0.000 0.000 0.000
0.750 0.250 0.500
0.590 0.125 0.250
0.160 0.625 0.250
0.375 0.410 0.750
0.875 0.840 0.750
```

Output
The total energy comes out at -54.04 eV/cell. Its calculated volume is 14.86 Å³ per atom. For the formation energy, the calculation gives 0.73 eV/atom. For the density of states at the Fermi level, the calculation gives 11.47 states/eV/cell. The value obtained for the energy above the most stable polymorph in this dataset is 577 meV per atom.

Entry 7:
A plane-wave DFT calculation with PBE-GGA was carried out for Na8B11C5 after structural relaxation.

Cell and atoms, written as POSCAR:
```
Na8B11C5
1.0
5.342 0.240 -16.502
0.319 3.093 -17.066
-0.365 -0.240 17.342
Na C B
8 5 11
direct
0.994 0.998 0.996
0.129 0.125 0.003
0.252 0.252 0.000
0.375 0.375 0.000
0.502 0.498 0.004
0.624 0.626 0.998
0.752 0.751 0.001
0.875 0.875 0.000
0.479 0.813 0.666
0.771 0.436 0.335
0.024 0.689 0.334
0.979 0.313 0.666
0.271 0.936 0.335
0.222 0.559 0.664
0.533 0.189 0.344
0.329 0.689 0.640
0.393 0.059 0.334
0.605 0.936 0.669
0.645 0.313 0.332
0.729 0.065 0.664
0.868 0.189 0.679
0.900 0.565 0.335
0.105 0.436 0.669
0.145 0.813 0.332
```

Output
The total energy comes out at -126.83 eV/cell. Its calculated volume is 10.31 Å³ per atom. For the formation energy, the calculation gives 0.14 eV/atom. For the density of states at the Fermi level, the calculation gives 3.38 states/eV/cell. The value obtained for the energy above the most stable polymorph in this dataset is 36 meV per atom.

Entry 8:
A plane-wave DFT calculation with PBE-GGA was carried out for Tl4Se3Br after structural relaxation.

Cell and atoms, written as POSCAR:
```
Tl4Se3Br
1.0
6.523 0.000 0.000
0.000 10.289 0.000
0.000 0.000 8.266
Tl Se Br
8 6 2
direct
0.127 0.736 0.000
0.555 0.069 0.000
0.070 0.369 0.192
0.570 0.631 0.308
0.055 0.931 0.500
0.627 0.264 0.500
0.570 0.631 0.692
0.070 0.369 0.808
0.546 0.753 0.000
0.049 0.648 0.296
0.549 0.352 0.204
0.046 0.247 0.500
0.549 0.352 0.796
0.049 0.648 0.704
0.050 0.009 0.000
0.550 0.991 0.500
```

Output
The total energy comes out at -48.79 eV/cell. Its calculated volume is 34.68 Å³ per atom. The value obtained for the uncorrected formation energy is -351 meV per atom. For the density of states at the Fermi level, the calculation gives 4.00 states/eV/cell.

Entry 9:
A plane-wave DFT calculation with PBE-GGA was carried out for La2NpNbN5 after structural relaxation.

Cell and atoms, written as POSCAR:
```
La2NpNbN5
1.0
-1.733 -0.195 -3.116
-5.272 -0.209 4.991
-0.705 10.873 -0.289
La Np Nb N
4 2 2 10
direct
0.855 0.711 0.792
0.105 0.210 0.688
0.145 0.289 0.292
0.895 0.790 0.188
0.787 0.574 0.511
0.213 0.426 0.011
0.518 0.036 0.961
0.482 0.964 0.461
0.376 0.753 0.008
0.685 0.370 0.891
0.490 0.980 0.787
0.277 0.554 0.645
0.950 0.900 0.542
0.624 0.247 0.508
0.315 0.630 0.391
0.510 0.020 0.287
0.723 0.446 0.145
0.050 0.100 0.042
```

Output
The total energy comes out at -171.12 eV/cell. Its calculated volume is 15.23 Å³ per atom. The value obtained for the uncorrected formation energy is -1230 meV per atom. For the density of states at the Fermi level, the calculation gives 12.34 states/eV/cell.

Entry 10:
A plane-wave DFT calculation with PBE-GGA was carried out for CdBi2Pb3 after structural relaxation.

Cell and atoms, written as POSCAR:
```
CdBi2Pb3
1.0
-1.704 -2.291 3.907
-7.352 -4.776 -3.011
2.240 -9.967 -1.872
Cd Bi Pb
2 4 6
direct
0.416 0.484 0.684
0.584 0.516 0.316
0.832 0.440 0.896
0.168 0.560 0.104
0.616 0.198 0.569
0.384 0.802 0.431
0.034 0.118 0.815
0.966 0.882 0.185
0.606 0.826 0.962
0.394 0.174 0.038
0.781 0.801 0.638
0.219 0.199 0.362
```

Output
The total energy comes out at -38.79 eV/cell. Its calculated volume is 34.25 Å³ per atom. For the formation energy, the calculation gives 0.07 eV/atom. For the density of states at the Fermi level, the calculation gives 4.67 states/eV/cell. The value obtained for the energy above the most stable polymorph in this dataset is 42 meV per atom.

Entry 11:
A plane-wave DFT calculation with PBE-GGA was carried out for HfBe2Cu after structural relaxation.

Cell and atoms, written as POSCAR:
```
HfBe2Cu
1.0
-2.993 -2.102 -1.897
-3.519 1.887 -1.013
-0.864 0.762 -3.955
Be Hf Cu
2 1 1
direct
0.250 0.250 0.250
0.750 0.750 0.750
0.500 0.500 0.500
0.000 0.000 0.000
```

Output
The total energy comes out at -21.58 eV/cell. Its calculated volume is 12.36 Å³ per atom. For the formation energy, the calculation gives -0.02 eV/atom. For the density of states at the Fermi level, the calculation gives 2.14 states/eV/cell. The value obtained for the energy above the most stable polymorph in this dataset is 93 meV per atom.

Entry 12:
A plane-wave DFT calculation with PBE-GGA was carried out for CdRh after structural relaxation.

Cell and atoms, written as POSCAR:
```
CdRh
1.0
-1.373 6.462 -5.568
2.733 -5.010 -6.487
-3.685 -1.273 -0.569
Cd Rh
8 8
direct
0.164 0.164 0.000
0.164 0.836 0.000
0.836 0.164 0.000
0.836 0.836 0.000
0.664 0.664 0.500
0.664 0.336 0.500
0.336 0.664 0.500
0.336 0.336 0.500
0.847 0.500 0.000
0.153 0.500 0.000
0.500 0.153 0.000
0.500 0.847 0.000
0.347 0.000 0.500
0.653 0.000 0.500
0.000 0.653 0.500
0.000 0.347 0.500
```

Output
The total energy comes out at -65.23 eV/cell. Its calculated volume is 18.38 Å³ per atom. For the formation energy, the calculation gives 0.06 eV/atom. For the density of states at the Fermi level, the calculation gives 20.40 states/eV/cell.